# NdSc2UO8 (GGA-PBE, optimized geometry)
data_NdSc2UO8
_chemical_formula_sum 'Nd1 Sc2 U1 O8'
_cell_length_a 3.8330
_cell_length_b 5.1579
_cell_length_c 7.4461
_cell_angle_alpha 90.00
_cell_angle_beta 90.00
_cell_angle_gamma 90.00
_space_group_name_H-M_alt 'P m m m'
_space_group_IT_number 47
_space_group_name_Hall '-P 2 2'
loop_
_atom_site_label
_atom_site_type_symbol
_atom_site_fract_x
_atom_site_fract_y
_atom_site_fract_z
Nd1 Nd 0.0000 0.0000 0.0000
Sc1 Sc 0.5000 0.5000 0.2646
U1 U 0.0000 0.0000 0.5000
O1 O 0.0000 0.2532 0.2746
O2 O 0.5000 0.2448 0.5000
O3 O 0.5000 0.2853 0.0000
# **DOS(E_F)**: 1.7 states/eV/cell
# **Total energy**: -105.835 eV per cell
# **Calculated volume**: 12.3 Å³ per atom
# **ΔE_f (raw)**: -3.121 eV/atom